A relaxed MgV8O8F8 crystal. Source: the Alexandria database, functional PBE with a Hubbard U.

The value obtained for the volume is 11.8 Å³ per atom. The value obtained for the energy above the most stable polymorph in this dataset is 69 meV/atom. As for the total magnetization: 18.00 μB per cell. The total DFT energy (no corrections) is -6.890 eV per atom. As for the symmetry: P-1.

Cell: 4.949 5.737 10.505 Å, 84.90 89.29 84.60°
Last column: magnetic moment on the atom in μB.
Element x y z (fractional)
V  0.486  0.280  0.726  1.99
V  0.514  0.720  0.274  1.99
V  0.029  0.250  0.238  2.04
V  0.500  0.000  0.500  1.91
V  0.000  0.500  0.500  2.06
V  0.500  0.500  0.000  2.63
V  0.971  0.750  0.762  2.04
V  0.000  0.000  0.000  2.71
O  0.710  0.722  0.435  -0.06
O  0.282  0.518  0.821  -0.09
O  0.718  0.482  0.179  -0.09
O  0.234  0.238  0.076  -0.04
O  0.290  0.278  0.565  -0.06
O  0.306  0.006  0.331  -0.06
O  0.766  0.762  0.924  -0.04
O  0.694  0.994  0.669  -0.06
F  0.816  0.232  0.419  0.00
F  0.209  0.513  0.326  0.00
F  0.761  0.985  0.165  0.01
F  0.184  0.768  0.581  0.00
F  0.791  0.487  0.674  0.00
F  0.714  0.238  0.905  0.01
F  0.286  0.762  0.095  0.01
F  0.239  0.015  0.835  0.01
Mg  0.500  0.000  0.000  0.01